Entry 1:
This record from Alexandria via LeMat-Bulk describes crystalline ReRhNF2 at its relaxed geometry. The functional is PBE-GGA.

**DOS(E_F)**: 2.70 states/eV/cell
**E**: -5.6491 eV per atom
**Energy above the lowest structure with this stoichiometry**: 0.6287 eV/atom

abc: 4.4324 4.4324 3.6915
angles: 90.00 90.00 90.00
With the nearest neighbours (Å) after each atom.
Element x y z (fractional)
Re 0.0000 0.0000 0.0000  8 F 2.88, 4 N 3.13
Rh 0.5000 0.5000 0.5000  2 N 1.85
N 0.5000 0.5000 0.0000  2 Rh 1.85
F 0.0000 0.5000 0.5000  2 Rh 2.22
F 0.5000 0.0000 0.5000  2 Rh 2.22

---

Entry 2:
This record from Alexandria via LeMat-Bulk describes crystalline RbY2H at its relaxed geometry. The functional is PBE-GGA.

**DOS(E_F)**: 32.63 states/eV/cell
**E**: -4.1125 eV per atom
**Energy above the lowest structure with this stoichiometry**: 0.1031 eV/atom

abc: 7.2742 7.2742 10.3043
angles: 90.00 90.00 90.00
With the nearest neighbours (Å) after each atom.
Element x y z (fractional)
Rb 0.0000 0.0000 0.0000  12 Y 4.26-4.28, 4 H 4.46, 4 Rb 4.46
Rb 0.0000 0.5000 0.2500  12 Y 4.26-4.28, 4 H 4.46, 4 Rb 4.46
Rb 0.5000 0.0000 0.7500  12 Y 4.26-4.28, 4 H 4.46, 4 Rb 4.46
Rb 0.5000 0.5000 0.5000  12 Y 4.26-4.28, 4 H 4.46, 4 Rb 4.46
Y 0.0016 0.7500 0.6250  2 H 2.23
Y 0.2500 0.0016 0.3750  2 H 2.23
Y 0.2500 0.4984 0.8750  2 H 2.23
Y 0.4984 0.7500 0.1250  2 H 2.23
Y 0.5016 0.2500 0.1250  2 H 2.23
Y 0.7500 0.5016 0.8750  2 H 2.23
Y 0.7500 0.9984 0.3750  2 H 2.23
Y 0.9984 0.2500 0.6250  2 H 2.23
H 0.0000 0.0000 0.5000  4 Y 2.23
H 0.0000 0.5000 0.7500  4 Y 2.23
H 0.5000 0.0000 0.2500  4 Y 2.23
H 0.5000 0.5000 0.0000  4 Y 2.23

---

Entry 3:
This record from Alexandria via LeMat-Bulk describes crystalline CoW2Cl at its relaxed geometry. The functional is PBE-GGA.

**DOS(E_F)**: 3.11 states/eV/cell
**E**: -7.4496 eV per atom
**Energy above the lowest structure with this stoichiometry**: 0.8899 eV/atom

abc: 3.7274 3.7274 4.4375
angles: 90.00 90.00 90.00
With the nearest neighbours (Å) after each atom.
Element x y z (fractional)
Co 0.0000 0.0000 0.0000  4 Cl 2.64, 8 W 2.90
W 0.0000 0.5000 0.5000  4 W 2.64, 4 Cl 2.90, 4 Co 2.90
W 0.5000 0.0000 0.5000  4 W 2.64, 4 Cl 2.90, 4 Co 2.90
Cl 0.5000 0.5000 0.0000  4 Co 2.64, 8 W 2.90

---

Entry 4:
This record from Alexandria via LeMat-Bulk describes crystalline Ce2CuBiS5 at its relaxed geometry. The functional is PBE-GGA.

**DOS(E_F)**: 47.36 states/eV/cell
**E**: -5.7481 eV per atom
**Energy above the lowest structure with this stoichiometry**: 0.0000 eV/atom

abc: 12.1193 3.9184 16.8918
angles: 90.00 90.00 90.00
With the nearest neighbours (Å) after each atom.
Element x y z (fractional)
Ce 0.0458 0.2500 0.1736  7 S 2.90-2.97
Ce 0.1234 0.7500 0.5997  8 S 2.94-3.09
Ce 0.3766 0.2500 0.0997  8 S 2.94-3.09
Ce 0.4542 0.7500 0.6736  7 S 2.90-2.97
Ce 0.5458 0.2500 0.3264  7 S 2.90-2.97
Ce 0.6234 0.7500 0.9003  8 S 2.94-3.09
Ce 0.8766 0.2500 0.4003  8 S 2.94-3.09
Ce 0.9542 0.7500 0.8264  7 S 2.90-2.97
Cu 0.0853 0.7500 0.9962  4 S 2.29-2.47
Cu 0.4147 0.2500 0.4962  4 S 2.29-2.47
Cu 0.5853 0.7500 0.5038  4 S 2.29-2.47
Cu 0.9147 0.2500 0.0038  4 S 2.29-2.47
Bi 0.1990 0.7500 0.3642  6 S 2.71-2.91
Bi 0.3010 0.2500 0.8642  6 S 2.71-2.91
Bi 0.6990 0.7500 0.1358  6 S 2.71-2.91
Bi 0.8010 0.2500 0.6358  6 S 2.71-2.91
S 0.0103 0.2500 0.7028  1 Bi 2.78, 4 Ce 2.94-2.96
S 0.0814 0.2500 0.9196  3 Cu 2.35-2.47
S 0.1022 0.2500 0.4707  2 Bi 2.91, 3 Ce 2.94-2.98
S 0.1950 0.7500 0.1064  1 Cu 2.29
S 0.2422 0.7500 0.7613  2 Bi 2.71, 1 Ce 2.97
S 0.2578 0.2500 0.2613  2 Bi 2.71, 1 Ce 2.97
S 0.3050 0.2500 0.6064  1 Cu 2.29
S 0.3978 0.7500 0.9707  2 Bi 2.91, 3 Ce 2.94-2.98
S 0.4186 0.7500 0.4196  3 Cu 2.35-2.47
S 0.4897 0.7500 0.2028  1 Bi 2.78, 4 Ce 2.94-2.96
S 0.5103 0.2500 0.7972  1 Bi 2.78, 4 Ce 2.94-2.96
S 0.5814 0.2500 0.5804  3 Cu 2.35-2.47
S 0.6022 0.2500 0.0293  2 Bi 2.91, 3 Ce 2.94-2.98
S 0.6950 0.7500 0.3936  1 Cu 2.29
S 0.7422 0.7500 0.7387  2 Bi 2.71, 1 Ce 2.97
S 0.7578 0.2500 0.2387  2 Bi 2.71, 1 Ce 2.97
S 0.8050 0.2500 0.8936  1 Cu 2.29
S 0.8978 0.7500 0.5293  2 Bi 2.91, 3 Ce 2.94-2.98
S 0.9186 0.7500 0.0804  3 Cu 2.35-2.47
S 0.9897 0.7500 0.2972  1 Bi 2.78, 4 Ce 2.94-2.96